# 1
HfSn3I: optimized geometry, PBE.

```
data_HfSn3I
_chemical_formula_sum 'Hf1 Sn3 I1'
_cell_length_a 5.651
_cell_length_b 5.651
_cell_length_c 5.651
_cell_angle_alpha 90.00
_cell_angle_beta 90.00
_cell_angle_gamma 90.00
_symmetry_space_group_name_H-M 'P m -3 m'
_symmetry_Int_Tables_number 221
_symmetry_space_group_name_Hall '-P 4 2 3'
loop_
_atom_site_label
_atom_site_fract_x
_atom_site_fract_y
_atom_site_fract_z
Hf1 0.000 0.000 0.000
Sn1 0.000 0.000 0.500
I1 0.500 0.500 0.500
```

Total moment in μB/f.u.: 0.0
DOS at the Fermi energy in states/eV/cell: 7.618
Density in g cm⁻³: 6.1
Uncorrected formation energy in kJ/mol of atoms: 29.9
ΔE to the lowest computed polymorph in eV/f.u.: 0.000



# 2
Hf2Sn2I: optimized geometry, PBE.

```
data_Hf2Sn2I
_chemical_formula_sum 'Hf4 Sn4 I2'
_cell_length_a 8.361
_cell_length_b 8.361
_cell_length_c 3.545
_cell_angle_alpha 90.00
_cell_angle_beta 90.00
_cell_angle_gamma 90.00
_symmetry_space_group_name_H-M 'P 4/m b m'
_symmetry_Int_Tables_number 127
_symmetry_space_group_name_Hall '-P 4 2ab'
loop_
_atom_site_label
_atom_site_fract_x
_atom_site_fract_y
_atom_site_fract_z
Hf1 0.161 0.339 0.000
Sn1 0.133 0.633 0.500
I1 0.000 0.000 0.000
```

Total moment in μB/f.u.: 0.0
DOS at the Fermi energy in states/eV/cell: 4.271
Density in g cm⁻³: 9.7
Uncorrected formation energy in kJ/mol of atoms: -11.1



# 3
HfSn2I: optimized geometry, PBE.

```
data_HfSn2I
_chemical_formula_sum 'Hf4 Sn8 I4'
_cell_length_a 4.334
_cell_length_b 4.334
_cell_length_c 23.177
_cell_angle_alpha 90.00
_cell_angle_beta 90.00
_cell_angle_gamma 90.00
_symmetry_space_group_name_H-M 'I -4 2 d'
_symmetry_Int_Tables_number 122
_symmetry_space_group_name_Hall 'I -4 2bw'
loop_
_atom_site_label
_atom_site_fract_x
_atom_site_fract_y
_atom_site_fract_z
Hf1 0.000 0.000 0.000
Sn1 0.234 0.250 0.125
I1 0.000 0.000 0.500
```

Total moment in μB/f.u.: 0.0
DOS at the Fermi energy in states/eV/cell: 15.882
Density in g cm⁻³: 8.3
Uncorrected formation energy in kJ/mol of atoms: 35.3
ΔE to the lowest computed polymorph in eV/f.u.: 0.000



# 4
HfSn3I: optimized geometry, PBE.

```
data_HfSn3I
_chemical_formula_sum 'Hf1 Sn3 I1'
_cell_length_a 5.669
_cell_length_b 5.669
_cell_length_c 5.669
_cell_angle_alpha 90.00
_cell_angle_beta 90.00
_cell_angle_gamma 90.00
_symmetry_space_group_name_H-M 'P m -3 m'
_symmetry_Int_Tables_number 221
_symmetry_space_group_name_Hall '-P 4 2 3'
loop_
_atom_site_label
_atom_site_fract_x
_atom_site_fract_y
_atom_site_fract_z
Hf1 0.000 0.000 0.000
Sn1 0.000 0.500 0.500
I1 0.500 0.500 0.500
```

Total moment in μB/f.u.: 0.0
DOS at the Fermi energy in states/eV/cell: 5.932
Density in g cm⁻³: 6.0
Uncorrected formation energy in kJ/mol of atoms: 124.2
ΔE to the lowest computed polymorph in eV/f.u.: 4.889



# 5
HfSn2I: optimized geometry, PBE.

```
data_HfSn2I
_chemical_formula_sum 'Hf4 Sn8 I4'
_cell_length_a 7.569
_cell_length_b 7.569
_cell_length_c 7.569
_cell_angle_alpha 90.00
_cell_angle_beta 90.00
_cell_angle_gamma 90.00
_symmetry_space_group_name_H-M 'F m -3 m'
_symmetry_Int_Tables_number 225
_symmetry_space_group_name_Hall '-F 4 2 3'
loop_
_atom_site_label
_atom_site_fract_x
_atom_site_fract_y
_atom_site_fract_z
Hf1 0.000 0.000 0.000
Sn1 0.250 0.250 0.250
I1 0.000 0.000 0.500
```

Total moment in μB/f.u.: 0.0
DOS at the Fermi energy in states/eV/cell: 14.390
Density in g cm⁻³: 8.3
Uncorrected formation energy in kJ/mol of atoms: 47.4
ΔE to the lowest computed polymorph in eV/f.u.: 0.502



# 6
HfSnTeI2: optimized geometry, PBE.

```
data_HfSnTeI2
_chemical_formula_sum 'Hf1 Sn1 Te1 I2'
_cell_length_a 5.650
_cell_length_b 5.650
_cell_length_c 5.629
_cell_angle_alpha 90.00
_cell_angle_beta 90.00
_cell_angle_gamma 90.00
_symmetry_space_group_name_H-M 'P 4/m m m'
_symmetry_Int_Tables_number 123
_symmetry_space_group_name_Hall '-P 4 2'
loop_
_atom_site_label
_atom_site_fract_x
_atom_site_fract_y
_atom_site_fract_z
Hf1 0.000 0.000 0.000
Sn1 0.500 0.500 0.500
Te1 0.000 0.000 0.500
I1 0.000 0.500 0.000
```

Total moment in μB/f.u.: 1.0
DOS at the Fermi energy in states/eV/cell: 5.064
Density in g cm⁻³: 6.3
Uncorrected formation energy in kJ/mol of atoms: -3.3
ΔE to the lowest computed polymorph in eV/f.u.: 0.000



# 7
HfSnTeI2: optimized geometry, PBE.

```
data_HfSnTeI2
_chemical_formula_sum 'Hf1 Sn1 Te1 I2'
_cell_length_a 5.852
_cell_length_b 5.852
_cell_length_c 5.871
_cell_angle_alpha 90.00
_cell_angle_beta 90.00
_cell_angle_gamma 90.00
_symmetry_space_group_name_H-M 'P 4/m m m'
_symmetry_Int_Tables_number 123
_symmetry_space_group_name_Hall '-P 4 2'
loop_
_atom_site_label
_atom_site_fract_x
_atom_site_fract_y
_atom_site_fract_z
Hf1 0.000 0.000 0.000
Sn1 0.500 0.500 0.500
Te1 0.500 0.500 0.000
I1 0.000 0.500 0.500
```

Total moment in μB/f.u.: 1.9
DOS at the Fermi energy in states/eV/cell: 6.192
Density in g cm⁻³: 5.6
Uncorrected formation energy in kJ/mol of atoms: 71.6
ΔE to the lowest computed polymorph in eV/f.u.: 3.878



# 8
Sr4HfI2: optimized geometry, PBE.

```
data_Sr4HfI2
_chemical_formula_sum 'Sr8 Hf2 I4'
_cell_length_a 6.511
_cell_length_b 6.511
_cell_length_c 17.123
_cell_angle_alpha 90.00
_cell_angle_beta 90.00
_cell_angle_gamma 90.00
_symmetry_space_group_name_H-M 'I 4/m m m'
_symmetry_Int_Tables_number 139
_symmetry_space_group_name_Hall '-I 4 2'
loop_
_atom_site_label
_atom_site_fract_x
_atom_site_fract_y
_atom_site_fract_z
Sr1 0.000 0.000 0.199
Sr2 0.000 0.500 0.000
Hf1 0.000 0.000 0.000
I1 0.000 0.000 0.389
```

Total moment in μB/f.u.: 5.4
DOS at the Fermi energy in states/eV/cell: 8.604
Density in g cm⁻³: 3.6
Uncorrected formation energy in kJ/mol of atoms: 4.9



no.,volume (Å³ per atom)
1,36.10
2,24.78
3,27.21
4,36.44
5,27.10
6,35.94
7,40.21
8,51.84